Entry from the Open Quantum Materials Database: crystalline Sc4TlCuN2 at its relaxed geometry (PBE).

Values from the calculation:
space-group type	P-6m2 (187)
calculated total energy	-7.028	eV/atom

Cell lengths 3.252, 3.252, 14.121 Å; angles 90.00, 90.00, 120.00 degrees
Sites, in units of the cell vectors:
Cu 0.000 0.000 0.000
Sc 0.667 0.333 0.145
Sc 0.000 0.000 0.680
Sc 0.667 0.333 0.855
Sc 0.000 0.000 0.320
N 0.333 0.667 0.760
N 0.333 0.667 0.240
Tl 0.667 0.333 0.500



Entry from the Open Quantum Materials Database: crystalline NpBiB at its relaxed geometry (PBE).

Values from the calculation:
space-group type	F-43m (216)
distance to the lowest polymorph of the same formula	0.000	kcal/mol of atoms

Cell lengths 4.478, 4.478, 4.478 Å; angles 60.00, 60.00, 60.00 degrees
Sites, in units of the cell vectors:
B 0.000 0.000 0.000
Bi 0.250 0.250 0.250
Np 0.750 0.750 0.750



> What is the formula in the first record?

Sc4TlCuN2